# 1
## Cs3GaBr6 (GGA-PBE)

Data for an optimized crystal structure of Cs3GaBr6.

Cell lengths 11.260, 11.260, 8.599 Å; angles 90.00, 90.00, 99.51 degrees
Fractional positions:
Cs1 0.078 0.922 0.500
Cs2 0.201 0.400 0.421
Cs3 0.400 0.201 0.921
Cs4 0.600 0.799 0.421
Cs5 0.799 0.600 0.921
Cs6 0.922 0.078 0.000
Ga1 0.316 0.684 0.840
Ga2 0.684 0.316 0.340
Br1 0.120 0.618 0.740
Br2 0.139 0.196 0.716
Br3 0.196 0.139 0.216
Br4 0.317 0.683 0.114
Br5 0.382 0.880 0.740
Br6 0.445 0.555 0.739
Br7 0.555 0.445 0.239
Br8 0.618 0.120 0.240
Br9 0.683 0.317 0.614
Br10 0.804 0.861 0.716
Br11 0.861 0.804 0.216
Br12 0.880 0.382 0.240

The raw total energy is -0.1094 hartree per atom. The crystal system is orthorhombic. The symmetry is Cmc2_1 (36).

# 2
## Sm4YIn3 (GGA-PBE)

Data for an optimized crystal structure of Sm4YIn3.

Cell lengths 10.145, 10.145, 10.145 Å; angles 151.92, 151.91, 40.13 degrees
Fractional positions:
Sm1 0.132 0.132 0.000
Sm2 0.367 0.367 0.000
Sm3 0.633 0.633 0.000
Sm4 0.868 0.868 0.000
Y1 0.000 0.500 0.500
In1 0.252 0.752 0.500
In2 0.500 0.000 0.500
In3 0.748 0.248 0.500

The raw total energy is -0.1671 hartree per atom. The calculation puts the polymorph energy (0 for the lowest one) at 0 meV/atom. The crystal system is orthorhombic. As for the formation energy: -354 meV/atom. The symmetry is Immm (71).

# 3
## Pr7Nd2Tm3 (GGA-PBE)

Data for an optimized crystal structure of Pr7Nd2Tm3.

Cell lengths 6.537, 3.595, 17.747 Å; angles 90.00, 95.68, 90.00 degrees
Fractional positions:
Pr1 0.000 0.000 0.000
Pr2 0.229 0.500 0.172
Pr3 0.258 0.500 0.494
Pr4 0.280 0.000 0.836
Pr5 0.720 0.000 0.164
Pr6 0.742 0.500 0.506
Pr7 0.771 0.500 0.828
Nd1 0.058 0.500 0.671
Nd2 0.942 0.500 0.329
Tm1 0.458 0.000 0.341
Tm2 0.500 0.500 0.000
Tm3 0.542 0.000 0.659

The raw total energy is -0.1704 hartree per atom. The calculation puts the polymorph energy (0 for the lowest one) at 0 meV/atom. The crystal system is monoclinic. As for the formation energy: 65 meV/atom. The symmetry is P2/m (10).

# 4
## Nd3Sm3Y2 (GGA-PBE)

Data for an optimized crystal structure of Nd3Sm3Y2.

Cell lengths 8.783, 8.783, 6.083 Å; angles 110.02, 110.02, 38.81 degrees
Fractional positions:
Nd1 0.000 0.000 0.000
Nd2 0.133 0.133 0.691
Nd3 0.867 0.867 0.309
Sm1 0.367 0.367 0.922
Sm2 0.500 0.500 0.500
Sm3 0.633 0.633 0.078
Y1 0.250 0.250 0.316
Y2 0.750 0.750 0.684

The raw total energy is -0.1873 hartree per atom. The crystal system is monoclinic. As for the formation energy: 78 meV/atom. The symmetry is C2/m (12).

# 5
## U2Sb2C (GGA-PBE)

Data for an optimized crystal structure of U2Sb2C.

Cell lengths 14.082, 14.082, 14.082 Å; angles 163.27, 163.27, 23.74 degrees
Fractional positions:
U1 0.085 0.335 0.750
U2 0.335 0.085 0.250
U3 0.665 0.915 0.750
U4 0.915 0.665 0.250
Sb1 0.207 0.457 0.750
Sb2 0.457 0.207 0.250
Sb3 0.543 0.793 0.750
Sb4 0.793 0.543 0.250
C1 0.125 0.875 0.250
C2 0.875 0.125 0.750

The raw total energy is -0.2915 hartree per atom. The crystal system is tetragonal. The symmetry is I4_1/amd (141).

# 6
## SrYSi2 (GGA-PBE)

Data for an optimized crystal structure of SrYSi2.

Cell lengths 10.154, 10.154, 10.154 Å; angles 150.19, 150.19, 42.66 degrees
Fractional positions:
Sr1 0.000 0.000 0.000
Sr2 0.750 0.250 0.500
Y1 0.250 0.750 0.500
Y2 0.500 0.500 0.000
Si1 0.268 0.625 0.143
Si2 0.375 0.518 0.643
Si3 0.482 0.125 0.857
Si4 0.875 0.732 0.357

The raw total energy is -0.1703 hartree per atom. The calculation puts the polymorph energy (0 for the lowest one) at 549 meV/atom. The crystal system is tetragonal. The symmetry is I-42d (122).